1.
Entry from Alexandria: a relaxed structure of Pr2DyPa (PBE-GGA).

Calculated values
energy relative to the lowest polymorph listed for this composition = 0.000 eV/atom
energy of formation = 0.18 eV per atom
symmetry = P4/mmm, No. 123

Cell lengths 3.4634, 3.4634, 10.5440 Å; angles 90.00, 90.00, 90.00 degrees
Element x y z (fractional)
Pr 0.0000 0.0000 0.2326
Pr 0.0000 0.0000 0.7674
Dy 0.5000 0.5000 0.5000
Pa 0.5000 0.5000 0.0000

---

2.
Entry from Alexandria: a relaxed structure of Pr2DyPa (PBE-GGA).

Calculated values
energy relative to the lowest polymorph listed for this composition = 0.140 eV/atom
energy of formation = 0.32 eV per atom
symmetry = R-3m, No. 166

Cell lengths 12.6990, 12.6990, 12.6990 Å; angles 15.37, 15.37, 15.37 degrees
Element x y z (fractional)
Pr 0.0862 0.0862 0.0862
Pr 0.9138 0.9138 0.9138
Dy 0.5000 0.5000 0.5000
Pa 0.0000 0.0000 0.0000

---

Question: Which of these has the highest energy of formation?
Answer: number 2